[1]
{"formula": "LiSi4Tc", "functional": "meta-GGA SCAN", "state": "PBEsol geometry", "sg": "F-43m (216)", "formation_energy_uncorrected_mev_per_atom": 358, "lattice_angstrom": [[0.0000, 3.4111, 3.4111], [3.4111, 0.0000, 3.4111], [3.4111, 3.4111, 0.0000]], "species": ["Li", "Si", "Si", "Si", "Si", "Tc"], "frac_coords": [[0.0000, 0.0000, 0.0000], [0.3749, 0.3749, 0.3749], [0.3749, 0.3749, 0.8752], [0.3749, 0.8752, 0.3749], [0.8752, 0.3749, 0.3749], [0.7500, 0.7500, 0.7500]]}

---

[2]
{"formula": "Cs3RhPb", "functional": "meta-GGA SCAN", "state": "PBEsol geometry", "sg": "Pm-3m (221)", "delta_e_f_mev_per_atom": 461, "lattice_angstrom": [[5.9226, 0.0000, 0.0000], [0.0000, 5.9226, 0.0000], [0.0000, 0.0000, 5.9226]], "species": ["Cs", "Cs", "Cs", "Rh", "Pb"], "frac_coords": [[0.0000, 0.0000, 0.5000], [0.0000, 0.5000, 0.0000], [0.5000, 0.0000, 0.0000], [0.0000, 0.0000, 0.0000], [0.5000, 0.5000, 0.5000]]}

---

[3]
{"formula": "SiTeIr2", "functional": "meta-GGA SCAN", "state": "PBEsol geometry", "sg": "P4/mmm (123)", "formation_energy_uncorrected_mev_per_atom": 392, "de_polymorph_mev_per_atom": 685.4, "lattice_angstrom": [[4.2274, 0.0000, 0.0000], [0.0000, 4.2274, 0.0000], [0.0000, 0.0000, 3.5475]], "species": ["Si", "Te", "Ir", "Ir"], "frac_coords": [[0.0000, 0.0000, 0.0000], [0.5000, 0.5000, 0.0000], [0.0000, 0.5000, 0.5000], [0.5000, 0.0000, 0.5000]]}

---

[4]
{"formula": "Si2TcW", "functional": "meta-GGA SCAN", "state": "PBEsol geometry", "sg": "C2/m (12)", "formation_energy_uncorrected_mev_per_atom": -1, "de_polymorph_mev_per_atom": 355.1, "lattice_angstrom": [[4.0497, -1.4171, 0.0000], [4.0497, 1.4171, 0.0000], [-1.0059, 0.0000, 4.8228]], "species": ["Si", "Si", "Tc", "W"], "frac_coords": [[0.2458, 0.2458, 0.2258], [0.7542, 0.7542, 0.7742], [0.5000, 0.5000, 0.0000], [0.0000, 0.0000, 0.5000]]}

---

[5]
{"formula": "Na3CuO2", "functional": "meta-GGA SCAN", "state": "PBEsol geometry", "sg": "P4_2/mnm (136)", "formation_energy_uncorrected_mev_per_atom": -1264, "de_polymorph_mev_per_atom": 0.0, "lattice_angstrom": [[9.3790, 0.0000, 0.0000], [0.0000, 9.3790, 0.0000], [0.0000, 0.0000, 4.5577]], "species": ["Na", "Na", "Na", "Na", "Na", "Na", "Na", "Na", "Na", "Na", "Na", "Na", "Cu", "Cu", "Cu", "Cu", "O", "O", "O", "O", "O", "O", "O", "O"], "frac_coords": [[0.0225, 0.3457, 0.0000], [0.1459, 0.8541, 0.5000], [0.1543, 0.5225, 0.5000], [0.3457, 0.0225, 0.0000], [0.3541, 0.3541, 0.0000], [0.4775, 0.8457, 0.5000], [0.5225, 0.1543, 0.5000], [0.6459, 0.6459, 0.0000], [0.6543, 0.9775, 0.0000], [0.8457, 0.4775, 0.5000], [0.8541, 0.1459, 0.5000], [0.9775, 0.6543, 0.0000], [0.1724, 0.1724, 0.5000], [0.3276, 0.6724, 0.0000], [0.6724, 0.3276, 0.0000], [0.8276, 0.8276, 0.5000], [0.0341, 0.3034, 0.5000], [0.1966, 0.5341, 0.0000], [0.3034, 0.0341, 0.5000], [0.4659, 0.8034, 0.0000], [0.5341, 0.1966, 0.0000], [0.6966, 0.9659, 0.5000], [0.8034, 0.4659, 0.0000], [0.9659, 0.6966, 0.5000]]}

---

[6]
{"formula": "LiOs2Pb", "functional": "meta-GGA SCAN", "state": "PBEsol geometry", "sg": "P4/mmm (123)", "delta_e_f_mev_per_atom": 753, "lattice_angstrom": [[3.8061, 0.0000, 0.0000], [0.0000, 3.8061, 0.0000], [0.0000, 0.0000, 4.3461]], "species": ["Li", "Os", "Os", "Pb"], "frac_coords": [[0.0000, 0.0000, 0.0000], [0.0000, 0.5000, 0.5000], [0.5000, 0.0000, 0.5000], [0.5000, 0.5000, 0.0000]]}

---

[7]
{"formula": "BaInAs", "functional": "meta-GGA SCAN", "state": "PBEsol geometry", "sg": "F-43m (216)", "delta_e_f_mev_per_atom": -374, "lattice_angstrom": [[0.0000, 3.6796, 3.6796], [3.6796, 0.0000, 3.6796], [3.6796, 3.6796, 0.0000]], "species": ["Ba", "In", "As"], "frac_coords": [[0.0000, 0.0000, 0.0000], [0.7500, 0.7500, 0.7500], [0.5000, 0.5000, 0.5000]]}

---

[8]
{"formula": "LiAs2N", "functional": "meta-GGA SCAN", "state": "PBEsol geometry", "sg": "I-42d (122)", "formation_energy_uncorrected_mev_per_atom": 309, "lattice_angstrom": [[-2.9127, 2.9127, 3.7800], [2.9127, -2.9127, 3.7800], [2.9127, 2.9127, -3.7800]], "species": ["Li", "Li", "As", "As", "As", "As", "N", "N"], "frac_coords": [[0.0000, 0.0000, 0.0000], [0.7500, 0.2500, 0.5000], [0.2019, 0.6250, 0.0769], [0.3750, 0.4519, 0.5769], [0.5481, 0.1250, 0.9231], [0.8750, 0.7981, 0.4231], [0.2500, 0.7500, 0.5000], [0.5000, 0.5000, 0.0000]]}

---

[9]
{"formula": "Sc2Cd2Pb", "functional": "meta-GGA SCAN", "state": "PBEsol geometry", "sg": "I4/mmm (139)", "delta_e_f_mev_per_atom": -95, "lattice_angstrom": [[-1.9726, 1.9726, 7.7551], [1.9726, -1.9726, 7.7551], [1.9726, 1.9726, -7.7551]], "species": ["Sc", "Sc", "Cd", "Cd", "Pb"], "frac_coords": [[0.0944, 0.0944, 0.0000], [0.9056, 0.9056, 0.0000], [0.2500, 0.7500, 0.5000], [0.7500, 0.2500, 0.5000], [0.5000, 0.5000, 0.0000]]}

---

[10]
{"formula": "Ti2RhSeI", "functional": "meta-GGA SCAN", "state": "PBEsol geometry", "sg": "P4/mmm (123)", "formation_energy_uncorrected_mev_per_atom": 204, "lattice_angstrom": [[4.7484, 0.0000, 0.0000], [0.0000, 4.7484, 0.0000], [0.0000, 0.0000, 4.5337]], "species": ["Ti", "Ti", "Rh", "Se", "I"], "frac_coords": [[0.0000, 0.5000, 0.0000], [0.5000, 0.0000, 0.0000], [0.0000, 0.0000, 0.5000], [0.0000, 0.0000, 0.0000], [0.5000, 0.5000, 0.5000]]}

---

[11]
{"formula": "TbSi3Rh5", "functional": "meta-GGA SCAN", "state": "PBEsol geometry", "sg": "P6_3/m (176)", "formation_energy_uncorrected_mev_per_atom": -1103, "lattice_angstrom": [[15.4028, 0.0000, 0.0000], [-7.7014, 13.3392, 0.0000], [0.0000, 0.0000, 3.8347]], "species": ["Tb", "Tb", "Tb", "Tb", "Tb", "Tb", "Si", "Si", "Si", "Si", "Si", "Si", "Si", "Si", "Si", "Si", "Si", "Si", "Si", "Si", "Si", "Si", "Si", "Si", "Rh", "Rh", "Rh", "Rh", "Rh", "Rh", "Rh", "Rh", "Rh", "Rh", "Rh", "Rh", "Rh", "Rh", "Rh", "Rh", "Rh", "Rh", "Rh", "Rh", "Rh", "Rh", "Rh", "Rh", "Rh", "Rh", "Rh", "Rh", "Rh", "Rh"], "frac_coords": [[0.1002, 0.3945, 0.2500], [0.2943, 0.8998, 0.2500], [0.3945, 0.2943, 0.7500], [0.6055, 0.7057, 0.2500], [0.7057, 0.1002, 0.7500], [0.8998, 0.6055, 0.7500], [0.0611, 0.6299, 0.2500], [0.1185, 0.2499, 0.7500], [0.1314, 0.8815, 0.7500], [0.2396, 0.5582, 0.7500], [0.2499, 0.1314, 0.2500], [0.3186, 0.7604, 0.7500], [0.3701, 0.4312, 0.2500], [0.4312, 0.0611, 0.7500], [0.4418, 0.6814, 0.7500], [0.5582, 0.3186, 0.2500], [0.5688, 0.9389, 0.2500], [0.6299, 0.5688, 0.7500], [0.6814, 0.2396, 0.2500], [0.7501, 0.8686, 0.7500], [0.7604, 0.4418, 0.2500], [0.8686, 0.1185, 0.2500], [0.8815, 0.7501, 0.2500], [0.9389, 0.3701, 0.7500], [0.0272, 0.1372, 0.2500], [0.0454, 0.7756, 0.2500], [0.0750, 0.5371, 0.7500], [0.1100, 0.9728, 0.2500], [0.1372, 0.1100, 0.7500], [0.1526, 0.7387, 0.7500], [0.2234, 0.6526, 0.2500], [0.2244, 0.2698, 0.2500], [0.2613, 0.4139, 0.7500], [0.2698, 0.0454, 0.7500], [0.3474, 0.5708, 0.2500], [0.4139, 0.1526, 0.2500], [0.4292, 0.7766, 0.2500], [0.4621, 0.9250, 0.7500], [0.4629, 0.5379, 0.7500], [0.5371, 0.4621, 0.2500], [0.5379, 0.0750, 0.2500], [0.5708, 0.2234, 0.7500], [0.5861, 0.8474, 0.7500], [0.6526, 0.4292, 0.7500], [0.7302, 0.9546, 0.2500], [0.7387, 0.5861, 0.2500], [0.7756, 0.7302, 0.7500], [0.7766, 0.3474, 0.7500], [0.8474, 0.2613, 0.2500], [0.8628, 0.8900, 0.2500], [0.8900, 0.0272, 0.7500], [0.9250, 0.4629, 0.2500], [0.9546, 0.2244, 0.7500], [0.9728, 0.8628, 0.7500]]}

---

[12]
{"formula": "TmLuPb2", "functional": "meta-GGA SCAN", "state": "PBEsol geometry", "sg": "I4/mmm (139)", "delta_e_f_mev_per_atom": -515, "lattice_angstrom": [[-2.7793, 2.7793, 3.3776], [2.7793, -2.7793, 3.3776], [2.7793, 2.7793, -3.3776]], "species": ["Tm", "Lu", "Pb", "Pb"], "frac_coords": [[0.0000, 0.0000, 0.0000], [0.5000, 0.5000, 0.0000], [0.2500, 0.7500, 0.5000], [0.7500, 0.2500, 0.5000]]}